VASP calculation (GGA-PBE) on a relaxed structure of YCo2Os.

Properties
energy relative to the lowest polymorph listed for this composition: 0.2764 eV per atom
uncorrected energy: -0.2844 Ha/atom
ΔE_f: 0.239 eV per atom

Cell: 3.0731 3.0731 6.6164 Å, 90.00 90.00 90.00°
Space group P4mm (No. 99)
One atom of each set of equivalent atoms:
1 Y 0.0000 0.0000 0.0000 (multiplicity 1)
2 Co 0.0000 0.0000 0.4819 (multiplicity 1)
3 Co 0.5000 0.5000 0.3032 (multiplicity 1)
4 Os 0.5000 0.5000 0.6815 (multiplicity 1)



VASP calculation (GGA-PBE) on a relaxed structure of YCoOs2.

Properties
energy relative to the lowest polymorph listed for this composition: 0.3911 eV per atom
uncorrected energy: -0.3096 Ha/atom
ΔE_f: 0.582 eV per atom

Cell: 6.3960 6.3960 6.3960 Å, 90.00 90.00 90.00°
Space group Fm-3m (No. 225)
One atom of each set of equivalent atoms:
1 Y 0.0000 0.0000 0.0000 (multiplicity 4)
2 Co 0.0000 0.0000 0.5000 (multiplicity 4)
3 Os 0.2500 0.2500 0.2500 (multiplicity 8)



VASP calculation (GGA-PBE) on a relaxed structure of YCo2Os.

Properties
energy relative to the lowest polymorph listed for this composition: 0.5116 eV per atom
uncorrected energy: -0.2757 Ha/atom
ΔE_f: 0.474 eV per atom

Cell: 4.4366 4.4366 15.7428 Å, 90.00 90.00 90.00°
Space group I-42d (No. 122)
One atom of each set of equivalent atoms:
1 Y 0.0000 0.0000 0.0000 (multiplicity 4)
2 Co 0.0792 0.2500 0.6250 (multiplicity 8)
3 Os 0.0000 0.0000 0.5000 (multiplicity 4)



VASP calculation (GGA-PBE) on a relaxed structure of YCo2Os.

Properties
energy relative to the lowest polymorph listed for this composition: 0.2267 eV per atom
uncorrected energy: -0.2862 Ha/atom
ΔE_f: 0.189 eV per atom

Cell: 6.2839 6.2839 6.2839 Å, 90.00 90.00 90.00°
Space group Fm-3m (No. 225)
One atom of each set of equivalent atoms:
1 Y 0.0000 0.0000 0.0000 (multiplicity 4)
2 Co 0.2500 0.2500 0.2500 (multiplicity 8)
3 Os 0.0000 0.0000 0.5000 (multiplicity 4)



VASP calculation (GGA-PBE) on a relaxed structure of YCoOs2.

Properties
energy relative to the lowest polymorph listed for this composition: 0.1648 eV per atom
uncorrected energy: -0.3179 Ha/atom
ΔE_f: 0.356 eV per atom

Cell: 3.8377 3.8377 4.3581 Å, 90.00 90.00 90.00°
Space group P4/mmm (No. 123)
One atom of each set of equivalent atoms:
1 Y 0.0000 0.0000 0.0000 (multiplicity 1)
2 Co 0.5000 0.5000 0.0000 (multiplicity 1)
3 Os 0.0000 0.5000 0.5000 (multiplicity 2)



VASP calculation (GGA-PBE) on a relaxed structure of YCoOs2.

Properties
energy relative to the lowest polymorph listed for this composition: 0.0000 eV per atom
uncorrected energy: -0.3240 Ha/atom
ΔE_f: 0.191 eV per atom

Cell: 4.2251 2.8924 10.6517 Å, 90.00 90.00 90.00°
Space group Amm2 (No. 38)
One atom of each set of equivalent atoms:
1 Y 0.0000 0.0000 0.0000 (multiplicity 2)
2 Co 0.5000 0.0000 0.6131 (multiplicity 2)
3 Os 0.0000 0.0000 0.7399 (multiplicity 2)
4 Os 0.5000 0.0000 0.3147 (multiplicity 2)



VASP calculation (GGA-PBE) on a relaxed structure of YZrCoOs.

Properties
uncorrected energy: -0.3155 Ha/atom
ΔE_f: -0.249 eV per atom

Cell: 6.6322 6.6322 6.6322 Å, 90.00 90.00 90.00°
Space group F-43m (No. 216)
One atom of each set of equivalent atoms:
1 Y 0.0000 0.0000 0.0000 (multiplicity 4)
2 Zr 0.0000 0.0000 0.5000 (multiplicity 4)
3 Co 0.2500 0.2500 0.7500 (multiplicity 4)
4 Os 0.2500 0.2500 0.2500 (multiplicity 4)



VASP calculation (GGA-PBE) on a relaxed structure of ZnCo3Os.

Properties
energy relative to the lowest polymorph listed for this composition: 0.0722 eV per atom
uncorrected energy: -0.1923 Ha/atom
ΔE_f: 1.532 eV per atom

Cell: 4.2023 4.2023 4.2023 Å, 90.00 90.00 90.00°
Space group Pm-3m (No. 221)
One atom of each set of equivalent atoms:
1 Zn 0.0000 0.0000 0.0000 (multiplicity 1)
2 Co 0.0000 0.0000 0.5000 (multiplicity 3)
3 Os 0.5000 0.5000 0.5000 (multiplicity 1)



VASP calculation (GGA-PBE) on a relaxed structure of ZnCoOs2.

Properties
uncorrected energy: -0.2678 Ha/atom
ΔE_f: 0.424 eV per atom

Cell: 3.6973 3.6973 3.9220 Å, 90.00 90.00 90.00°
Space group P4/mmm (No. 123)
One atom of each set of equivalent atoms:
1 Zn 0.0000 0.0000 0.0000 (multiplicity 1)
2 Co 0.5000 0.5000 0.0000 (multiplicity 1)
3 Os 0.0000 0.5000 0.5000 (multiplicity 2)



VASP calculation (GGA-PBE) on a relaxed structure of ZnCoOs2.

Properties
uncorrected energy: -0.2686 Ha/atom
ΔE_f: 0.401 eV per atom

Cell: 2.7606 4.5540 8.8125 Å, 90.00 90.00 90.00°
Space group Cmm2 (No. 35)
One atom of each set of equivalent atoms:
1 Zn 0.0000 0.0000 0.0000 (multiplicity 2)
2 Co 0.0000 0.5000 0.7627 (multiplicity 2)
3 Os 0.0000 0.0000 0.5221 (multiplicity 2)
4 Os 0.0000 0.5000 0.2616 (multiplicity 2)



VASP calculation (GGA-PBE) on a relaxed structure of ZnCoOs2.

Properties
uncorrected energy: -0.2693 Ha/atom
ΔE_f: 0.381 eV per atom

Cell: 2.7508 4.5547 8.8216 Å, 90.00 90.00 90.00°
Space group Cmmm (No. 65)
One atom of each set of equivalent atoms:
1 Zn 0.0000 0.0000 0.0000 (multiplicity 2)
2 Co 0.0000 0.0000 0.5000 (multiplicity 2)
3 Os 0.0000 0.5000 0.2582 (multiplicity 4)



VASP calculation (GGA-PBE) on a relaxed structure of Zn2Co2Os.

Properties
energy relative to the lowest polymorph listed for this composition: 0.0000 eV per atom
uncorrected energy: -0.1949 Ha/atom
ΔE_f: 0.295 eV per atom

Cell: 6.8271 6.8271 2.6812 Å, 90.00 90.00 90.00°
Space group P4/mbm (No. 127)
One atom of each set of equivalent atoms:
1 Zn 0.1255 0.3745 0.0000 (multiplicity 4)
2 Co 0.1751 0.6751 0.5000 (multiplicity 4)
3 Os 0.0000 0.0000 0.0000 (multiplicity 2)